(1)
Computed, not measured: SrSb2CI after structural relaxation at the PBE level of DFT.

Summary:
- Polymorph energy (0 for the lowest one): 1382 meV per atom
- Energy relative to the elements, uncorrected: 170 kJ/mol of atoms

a b c (Å): 6.4024 6.4024 6.2076
angles (deg): 90.00 90.00 90.00
With the nearest neighbours (Å) after each atom.
Space group P4/mmm (No. 123)
Symmetry-distinct sites (fractional):
Sr 0.0000 0.0000 0.0000 [1 per cell]  2 I 3.10, 4 Sb 3.20
Sb 0.0000 0.5000 0.0000 [2 per cell]  2 Sr 3.20
C 0.5000 0.5000 0.5000 [1 per cell]  8 Sb 4.46, 4 I 4.53
I 0.0000 0.0000 0.5000 [1 per cell]  2 Sr 3.10

---

(2)
Computed, not measured: CrCd after structural relaxation at the PBE level of DFT.

Summary:
- ΔH_f (0 K): 0.579 eV per atom

a b c (Å): 6.6899 6.6899 6.6899
angles (deg): 90.00 90.00 90.00
With the nearest neighbours (Å) after each atom.
Space group Fd-3m (No. 227, origin choice 2)
Symmetry-distinct sites (fractional):
Cr 0.1250 0.1250 0.1250 [8 per cell]  4 Cr 2.90, 4 Cd 2.90
Cd 0.1250 0.1250 0.6250 [8 per cell]  4 Cd 2.90, 4 Cr 2.90